A relaxed structure of Cs2LiPaO4. Source: Alexandria via LeMat-Bulk, functional PBE.

Unit cell a=5.9965 b=3.6872 c=7.1099 alpha=90.00 beta=105.71 gamma=90.00
Last column: nearest neighbours and their distance in Å.
Element x y z (fractional)
1 Cs 0.0000 0.0000 0.0000  6 O 3.17-3.19, 4 Cs 3.52
2 Cs 0.5000 0.5000 0.0000  6 O 2.98
3 Li 0.0000 0.5000 0.5000  6 O 2.36-2.56
4 Pa 0.5000 0.0000 0.5000  2 O 2.06
5 O 0.2755 0.0000 0.6737  1 Pa 2.06
6 O 0.2966 0.5000 0.3382  2 Pa 2.33, 1 Li 2.36
7 O 0.7034 0.5000 0.6618  2 Pa 2.33, 1 Li 2.36
8 O 0.7245 0.0000 0.3263  1 Pa 2.06

## Properties
- formation energy from raw total energies (eV/atom) = -2.360